First-principles (PBE-GGA) data for NaCoAgCl6 after structural relaxation, as listed in the Alexandria database.

Values from the calculation:
* E_form (uncorrected): -716 meV/atom
* V: 217.3 Å³ per cell
* D(E_F): 8.126 states/eV/f.u.

Unit cell a=6.471 b=6.471 c=5.992 alpha=90.00 beta=90.00 gamma=120.00
Positions (direct):
Na: 0.000 0.000 0.000
Co: 0.667 0.333 0.500
Ag: 0.333 0.667 0.500
Cl: 0.387 0.045 0.719
Cl: 0.387 0.343 0.281
Cl: 0.657 0.045 0.281
Cl: 0.657 0.613 0.719
Cl: 0.955 0.343 0.719
Cl: 0.955 0.613 0.281

First-principles (PBE-GGA) data for SrNbRe3 after structural relaxation, as listed in the Alexandria database.

Values from the calculation:
* V: 117.3 Å³ per cell
* offset from the most stable computed form: 0.0 meV/atom
* D(E_F): 6.816 states/eV/f.u.
* energy of formation: 1.763 eV/atom

Unit cell a=4.894 b=4.894 c=4.894 alpha=90.00 beta=90.00 gamma=90.00
Positions (direct):
Sr: 0.000 0.000 0.000
Nb: 0.500 0.500 0.500
Re: 0.000 0.500 0.500
Re: 0.500 0.000 0.500
Re: 0.500 0.500 0.000

First-principles (PBE-GGA) data for Tb7NdY12 after structural relaxation, as listed in the Alexandria database.

Values from the calculation:
* V: 656.4 Å³ per cell
* offset from the most stable computed form: 0.0 meV/atom
* D(E_F): 18.076 states/eV/f.u.
* energy of formation: 0.281 eV/atom

Unit cell a=8.731 b=8.731 c=8.731 alpha=95.27 beta=95.27 gamma=95.27
Positions (direct):
Tb: 0.000 0.000 0.000
Tb: 0.147 0.417 0.481
Tb: 0.417 0.481 0.147
Tb: 0.481 0.147 0.417
Tb: 0.519 0.853 0.583
Tb: 0.583 0.519 0.853
Tb: 0.853 0.583 0.519
Nd: 0.500 0.500 0.500
Y: 0.022 0.085 0.353
Y: 0.085 0.353 0.022
Y: 0.184 0.750 0.313
Y: 0.250 0.687 0.816
Y: 0.313 0.184 0.750
Y: 0.353 0.022 0.085
Y: 0.647 0.978 0.915
Y: 0.687 0.816 0.250
Y: 0.750 0.313 0.184
Y: 0.816 0.250 0.687
Y: 0.915 0.647 0.978
Y: 0.978 0.915 0.647

First-principles (PBE-GGA) data for Al2HgPb after structural relaxation, as listed in the Alexandria database.

Values from the calculation:
* V: 95.1 Å³ per cell
* offset from the most stable computed form: 132.7 meV/atom
* D(E_F): 2.072 states/eV/f.u.
* energy of formation: 0.279 eV/atom

Unit cell a=5.123 b=5.123 c=5.123 alpha=60.00 beta=60.00 gamma=60.00
Positions (direct):
Al: 0.000 0.000 0.000
Al: 0.250 0.250 0.250
Hg: 0.750 0.750 0.750
Pb: 0.500 0.500 0.500

First-principles (PBE-GGA) data for Sm6CdIn2 after structural relaxation, as listed in the Alexandria database.

Values from the calculation:
* V: 309.6 Å³ per cell
* D(E_F): 15.874 states/eV/f.u.
* energy of formation: -0.032 eV/atom

Unit cell a=9.073 b=9.073 c=5.243 alpha=106.14 beta=106.14 gamma=48.87
Positions (direct):
Sm: 0.083 0.586 0.334
Sm: 0.247 0.753 0.000
Sm: 0.414 0.917 0.666
Sm: 0.586 0.083 0.334
Sm: 0.753 0.247 0.000
Sm: 0.917 0.414 0.666
Cd: 0.000 0.000 0.500
In: 0.333 0.333 0.834
In: 0.667 0.667 0.166

- Which value of V does entry 5 give?
  309.6 Å³ per cell

- Look up the D(E_F) of the first one.
  8.126 states/eV/f.u.